Below is Ce2PrNdTe5 after structural relaxation, with properties calculated at the PBE level.

```
Ce2PrNdTe5
1.0
5.692 0.000 0.000
0.000 5.692 0.000
0.000 0.000 11.971
Ce Pr Nd Te
2 1 1 5
direct
0.000 0.000 0.161
0.000 0.000 0.839
0.500 0.500 0.500
0.500 0.500 0.000
0.000 0.000 0.500
0.000 0.500 0.000
0.500 0.000 0.000
0.500 0.500 0.253
0.500 0.500 0.747
```

**Formation energy from raw total energies**: -663.3 kJ/mol of formula units
**Space-group type**: P4/mmm
**Magnetic moment**: 0.384 μB per atom

=====

Below is CePrNdTl after structural relaxation, with properties calculated at the PBE level.

```
CePrNdTl
1.0
7.865 0.000 0.000
0.000 7.865 0.000
0.000 0.000 7.865
Ce Pr Nd Tl
4 4 4 4
direct
0.000 0.000 0.000
0.000 0.500 0.500
0.500 0.000 0.500
0.500 0.500 0.000
0.250 0.250 0.750
0.250 0.750 0.250
0.750 0.250 0.250
0.750 0.750 0.750
0.250 0.250 0.250
0.250 0.750 0.750
0.750 0.250 0.750
0.750 0.750 0.250
0.000 0.000 0.500
0.000 0.500 0.000
0.500 0.000 0.000
0.500 0.500 0.500
```

**Space-group type**: F-43m
**Magnetic moment**: 0.102 μB per atom
**Formation energy from the elements**: -0.007 eV/atom

=====

Below is CePr2NdTl4 after structural relaxation, with properties calculated at the PBE level.

```
CePr2NdTl4
1.0
2.772 1.600 9.063
-2.772 1.600 9.063
0.000 -3.201 9.063
Ce Pr Nd Tl
1 2 1 4
direct
0.000 0.000 0.000
0.250 0.250 0.250
0.750 0.750 0.750
0.500 0.500 0.500
0.125 0.125 0.125
0.375 0.375 0.375
0.625 0.625 0.625
0.875 0.875 0.875
```

**Space-group type**: R-3m
**Magnetic moment**: 0.138 μB per atom
**Formation energy from the elements**: -0.340 eV/atom

=====

Below is CePr6NdTm2 after structural relaxation, with properties calculated at the PBE level.

```
CePr6NdTm2
1.0
5.649 -3.543 0.000
5.649 3.543 0.000
-1.832 0.000 8.763
Ce Pr Nd Tm
1 6 1 2
direct
0.000 0.000 0.000
0.098 0.565 0.200
0.133 0.133 0.422
0.435 0.902 0.800
0.565 0.098 0.200
0.867 0.867 0.578
0.902 0.435 0.800
0.500 0.500 0.500
0.407 0.407 0.845
0.593 0.593 0.155
```

**Space-group type**: C2/m
**Magnetic moment**: 0.128 μB per atom
**Formation energy from the elements**: 0.230 eV/atom

=====

Below is CePrNd2Tm after structural relaxation, with properties calculated at the PBE level.

```
CePrNd2Tm
1.0
8.540 0.000 0.000
0.000 6.369 0.000
-0.037 0.000 6.250
Ce Pr Nd Tm
2 2 4 2
direct
0.000 0.043 0.250
0.000 0.957 0.750
0.000 0.500 0.000
0.000 0.500 0.500
0.309 0.193 0.748
0.309 0.807 0.248
0.691 0.193 0.752
0.691 0.807 0.252
0.500 0.325 0.250
0.500 0.675 0.750
```

**Space-group type**: P2/c
**Magnetic moment**: 0.150 μB per atom
**Formation energy from the elements**: 0.272 eV/atom

=====

Below is CePr6NdY2 after structural relaxation, with properties calculated at the PBE level.

```
CePr6NdY2
1.0
5.701 -3.547 0.000
5.701 3.547 0.000
-1.974 0.000 8.791
Ce Pr Nd Y
1 6 1 2
direct
0.000 0.000 0.000
0.097 0.567 0.201
0.131 0.131 0.418
0.433 0.903 0.799
0.567 0.097 0.201
0.869 0.869 0.582
0.903 0.433 0.799
0.500 0.500 0.500
0.405 0.405 0.842
0.595 0.595 0.158
```

**Space-group type**: C2/m
**Magnetic moment**: 0.131 μB per atom
**Formation energy from the elements**: 0.229 eV/atom

=====

Below is CePr3Nd2Y6 after structural relaxation, with properties calculated at the PBE level.

```
CePr3Nd2Y6
1.0
3.151 -5.457 0.000
3.151 5.457 0.000
-2.098 0.000 11.712
Ce Pr Nd Y
1 3 2 6
direct
0.000 0.000 0.000
0.167 0.833 0.500
0.500 0.500 0.500
0.833 0.167 0.500
0.333 0.667 0.000
0.667 0.333 0.000
0.082 0.413 0.248
0.249 0.249 0.752
0.413 0.082 0.248
0.587 0.918 0.752
0.751 0.751 0.248
0.918 0.587 0.752
```

**Space-group type**: C2/m
**Magnetic moment**: 0.096 μB per atom
**Formation energy from the elements**: 0.030 eV/atom

=====

Below is CePr6Nd2Y after structural relaxation, with properties calculated at the PBE level.

```
CePr6Nd2Y
1.0
5.857 -3.621 0.000
5.857 3.621 0.000
-5.719 0.000 8.420
Ce Pr Nd Y
1 6 2 1
direct
0.000 0.000 0.000
0.163 0.602 0.195
0.282 0.282 0.444
0.398 0.837 0.805
0.602 0.163 0.195
0.718 0.718 0.556
0.837 0.398 0.805
0.354 0.354 0.827
0.646 0.646 0.173
0.000 0.000 0.500
```

**Space-group type**: C2/m
**Magnetic moment**: 0.107 μB per atom
**Formation energy from the elements**: 0.230 eV/atom

=====

Below is Ce2Pr3NdY6 after structural relaxation, with properties calculated at the PBE level.

```
Ce2Pr3NdY6
1.0
3.133 -5.427 0.000
3.133 5.427 0.000
-2.089 0.000 11.680
Ce Pr Nd Y
2 3 1 6
direct
0.167 0.833 0.000
0.833 0.167 0.000
0.000 0.000 0.500
0.334 0.666 0.500
0.666 0.334 0.500
0.500 0.500 0.000
0.082 0.418 0.754
0.246 0.246 0.246
0.418 0.082 0.754
0.582 0.918 0.246
0.754 0.754 0.754
0.918 0.582 0.246
```

**Space-group type**: C2/m
**Magnetic moment**: 0.169 μB per atom
**Formation energy from the elements**: 0.046 eV/atom

=====

Below is CePrNd6Y2 after structural relaxation, with properties calculated at the PBE level.

```
CePrNd6Y2
1.0
5.708 -3.500 0.000
5.708 3.500 0.000
-2.034 0.000 8.779
Ce Pr Nd Y
1 1 6 2
direct
0.000 0.000 0.000
0.500 0.500 0.500
0.096 0.569 0.200
0.131 0.131 0.417
0.431 0.904 0.800
0.569 0.096 0.200
0.869 0.869 0.583
0.904 0.431 0.800
0.406 0.406 0.841
0.594 0.594 0.159
```

**Space-group type**: C2/m
**Magnetic moment**: 0.143 μB per atom
**Formation energy from the elements**: 0.235 eV/atom

=====

Below is CePrNdZn after structural relaxation, with properties calculated at the PBE level.

```
CePrNdZn
1.0
7.604 0.000 0.000
0.000 7.604 0.000
0.000 0.000 7.604
Ce Pr Nd Zn
4 4 4 4
direct
0.000 0.000 0.000
0.000 0.500 0.500
0.500 0.000 0.500
0.500 0.500 0.000
0.250 0.250 0.250
0.250 0.750 0.750
0.750 0.250 0.750
0.750 0.750 0.250
0.250 0.250 0.750
0.250 0.750 0.250
0.750 0.250 0.250
0.750 0.750 0.750
0.000 0.000 0.500
0.000 0.500 0.000
0.500 0.000 0.000
0.500 0.500 0.500
```

**Space-group type**: F-43m
**Magnetic moment**: 0.529 μB per atom
**Formation energy from the elements**: 0.107 eV/atom

=====

Below is CePrNdZr after structural relaxation, with properties calculated at the PBE level.

```
CePrNdZr
1.0
7.844 0.000 0.000
0.000 7.844 0.000
0.000 0.000 7.844
Ce Pr Nd Zr
4 4 4 4
direct
0.000 0.000 0.000
0.000 0.500 0.500
0.500 0.000 0.500
0.500 0.500 0.000
0.000 0.000 0.500
0.000 0.500 0.000
0.500 0.000 0.000
0.500 0.500 0.500
0.250 0.250 0.750
0.250 0.750 0.250
0.750 0.250 0.250
0.750 0.750 0.750
0.250 0.250 0.250
0.250 0.750 0.750
0.750 0.250 0.750
0.750 0.750 0.250
```

**Space-group type**: F-43m
**Magnetic moment**: 0.167 μB per atom
**Formation energy from the elements**: 0.276 eV/atom